This record from the Alexandria database describes Dy2MgTi after structural relaxation. The functional is PBE.

Computed properties:
Magnetic moment: 2.26 μB/f.u.
Energy of formation from the pure elements: 0.151 eV/atom
VASP energy: -4.52 eV/atom
Offset from the most stable computed form: 0.081 eV per atom

```
4
Lattice="3.575 0.000 0.000 0.000 5.374 0.000 0.000 0.000 5.374" Properties=species:S:1:pos:R:3 pbc="T T T"
Mg 1.787 2.687 2.687
Ti 1.787 0.000 0.000
Dy 0.000 2.687 0.000
Dy 0.000 0.000 2.687
```